VASP calculation (PBE) on a relaxed CaFeAsSe2 crystal.

a = 5.066 Å, b = 5.066 Å, c = 4.388 Å
α = 90.00°, β = 90.00°, γ = 90.00°
Sites, in units of the cell vectors:
1 As 0.000 0.000 0.500
2 Ca 0.500 0.500 0.500
3 Fe 0.000 0.000 0.000
4 Se 0.000 0.500 0.000
5 Se 0.500 0.000 0.000

Properties
Raw total energy ... -4.835 eV/atom
Uncorrected formation energy ... -40 kJ per mole of atoms